#one
This record from the Alexandria database describes a relaxed Hf2AgSn2 crystal. The functional is PBE-GGA.

The calculation puts the total magnetic moment at 0.0 μB per formula unit. For the density of states at the Fermi level, the calculation gives 0.902 states/eV per atom.

It has space group P4/mbm (No. 127), with a = 8.456 Å, b = 8.456 Å, c = 3.257 Å, α = 90.00°, β = 90.00° and γ = 90.00°. The inequivalent atoms are Hf at (0.128, 0.372, 0.000), Ag at (0.000, 0.000, 0.000) and Sn at (0.170, 0.670, 0.500).

#two
This record from the Alexandria database describes a relaxed Hf2AgSn2 crystal. The functional is PBE-GGA.

The calculation puts the total magnetic moment at 0.0 μB per formula unit. For the density of states at the Fermi level, the calculation gives 0.366 states/eV per atom.

It has space group P4/mbm (No. 127), with a = 7.278 Å, b = 7.278 Å, c = 4.135 Å, α = 90.00°, β = 90.00° and γ = 90.00°. The inequivalent atoms are Hf at (0.170, 0.330, 0.000), Ag at (0.000, 0.000, 0.500) and Sn at (0.137, 0.637, 0.500).

The structure with the greatest stability is #two.

#one
This record from the Alexandria database describes a relaxed Sr2HfAg2 crystal. The functional is PBE-GGA.

The calculation puts the total magnetic moment at 0.9 μB per formula unit. For the density of states at the Fermi level, the calculation gives 1.018 states/eV per atom.

It has space group P4/mbm (No. 127), with a = 9.137 Å, b = 9.137 Å, c = 3.371 Å, α = 90.00°, β = 90.00° and γ = 90.00°. The inequivalent atoms are Sr at (0.143, 0.357, 0.000), Hf at (0.000, 0.000, 0.000) and Ag at (0.159, 0.659, 0.500).

#two
This record from the Alexandria database describes a relaxed Sr2HfAg2 crystal. The functional is PBE-GGA.

The calculation puts the total magnetic moment at 0.0 μB per formula unit. For the density of states at the Fermi level, the calculation gives 0.502 states/eV per atom.

It has space group P4/mbm (No. 127), with a = 7.536 Å, b = 7.536 Å, c = 5.129 Å, α = 90.00°, β = 90.00° and γ = 90.00°. The inequivalent atoms are Sr at (0.175, 0.325, 0.000), Hf at (0.000, 0.000, 0.500) and Ag at (0.135, 0.635, 0.500).

The structure with the greatest stability is #two.

#one
This record from the Alexandria database describes a relaxed SrHf2Ag crystal. The functional is PBE-GGA.

The calculation puts the total magnetic moment at 0.0 μB per formula unit. For the density of states at the Fermi level, the calculation gives 1.143 states/eV per atom.

It has space group I-42d (No. 122), with a = 4.233 Å, b = 4.233 Å, c = 23.404 Å, α = 90.00°, β = 90.00° and γ = 90.00°. The inequivalent atoms are Sr at (0.000, 0.000, 0.000), Hf at (0.233, 0.250, 0.625) and Ag at (0.000, 0.000, 0.500).

#two
This record from the Alexandria database describes a relaxed SrHf2Ag crystal. The functional is PBE-GGA.

The calculation puts the total magnetic moment at 0.0 μB per formula unit. For the density of states at the Fermi level, the calculation gives 1.937 states/eV per atom.

It has space group Fm-3m (No. 225), with a = 7.234 Å, b = 7.234 Å, c = 7.234 Å, α = 90.00°, β = 90.00° and γ = 90.00°. The inequivalent atoms are Sr at (0.000, 0.000, 0.000), Hf at (0.250, 0.250, 0.250) and Ag at (0.000, 0.000, 0.500).

The structure with the greatest stability is #one.